Entry 1:
# Be2ZnHg GGA-PBE optimized geometry
data_Be2ZnHg
_symmetry_space_group_name_H-M 'P 1'
_symmetry_Int_Tables_number 1
_symmetry_space_group_name_Hall 'P 1'
_cell_length_a 2.944
_cell_length_b 4.040
_cell_length_c 5.078
_cell_angle_alpha 90.00
_cell_angle_beta 101.63
_cell_angle_gamma 90.00
loop_
_atom_site_label
_atom_site_fract_x
_atom_site_fract_y
_atom_site_fract_z
_atom_site_occupancy
Be1 0.166 0.000 0.310 1
Be2 0.834 0.000 0.690 1
Zn1 0.500 0.500 0.500 1
Hg1 0.000 0.500 0.000 1
# DFT formation energy = 0.4059 eV/atom
# E_tot = -7.405 eV/cell
# ΔE to the lowest computed polymorph = 0.022 eV/atom
# SG = P2/m

Entry 2:
# Be2ZnHg GGA-PBE optimized geometry
data_Be2ZnHg
_symmetry_space_group_name_H-M 'P 1'
_symmetry_Int_Tables_number 1
_symmetry_space_group_name_Hall 'P 1'
_cell_length_a 2.912
_cell_length_b 2.912
_cell_length_c 23.675
_cell_angle_alpha 90.00
_cell_angle_beta 90.00
_cell_angle_gamma 120.00
loop_
_atom_site_label
_atom_site_fract_x
_atom_site_fract_y
_atom_site_fract_z
_atom_site_occupancy
Be1 0.000 0.000 0.242 1
Be2 0.000 0.000 0.758 1
Be3 0.333 0.667 0.425 1
Be4 0.333 0.667 0.908 1
Be5 0.667 0.333 0.092 1
Be6 0.667 0.333 0.575 1
Zn1 0.000 0.000 0.500 1
Zn2 0.333 0.667 0.167 1
Zn3 0.667 0.333 0.833 1
Hg1 0.000 0.000 0.000 1
Hg2 0.333 0.667 0.667 1
Hg3 0.667 0.333 0.333 1
# DFT formation energy = 0.5157 eV/atom
# E_tot = -20.896 eV/cell
# ΔE to the lowest computed polymorph = 0.132 eV/atom
# SG = R-3m

Entry 3:
# Be2ZnHg GGA-PBE optimized geometry
data_Be2ZnHg
_symmetry_space_group_name_H-M 'P 1'
_symmetry_Int_Tables_number 1
_symmetry_space_group_name_Hall 'P 1'
_cell_length_a 3.028
_cell_length_b 3.028
_cell_length_c 5.950
_cell_angle_alpha 90.00
_cell_angle_beta 90.00
_cell_angle_gamma 90.00
loop_
_atom_site_label
_atom_site_fract_x
_atom_site_fract_y
_atom_site_fract_z
_atom_site_occupancy
Be1 0.000 0.000 0.000 1
Be2 0.500 0.500 0.167 1
Zn1 0.500 0.500 0.778 1
Hg1 0.000 0.000 0.440 1
# DFT formation energy = 0.3872 eV/atom
# E_tot = -7.479 eV/cell
# ΔE to the lowest computed polymorph = 0.004 eV/atom
# SG = P4mm

Entry 4:
# Be2ZnHg GGA-PBE optimized geometry
data_Be2ZnHg
_symmetry_space_group_name_H-M 'P 1'
_symmetry_Int_Tables_number 1
_symmetry_space_group_name_Hall 'P 1'
_cell_length_a 2.869
_cell_length_b 2.869
_cell_length_c 24.773
_cell_angle_alpha 90.00
_cell_angle_beta 90.00
_cell_angle_gamma 120.00
loop_
_atom_site_label
_atom_site_fract_x
_atom_site_fract_y
_atom_site_fract_z
_atom_site_occupancy
Be1 0.000 0.000 0.000 1
Be2 0.000 0.000 0.271 1
Be3 0.333 0.667 0.667 1
Be4 0.333 0.667 0.938 1
Be5 0.667 0.333 0.333 1
Be6 0.667 0.333 0.604 1
Zn1 0.000 0.000 0.740 1
Zn2 0.333 0.667 0.407 1
Zn3 0.667 0.333 0.073 1
Hg1 0.000 0.000 0.515 1
Hg2 0.333 0.667 0.181 1
Hg3 0.667 0.333 0.848 1
# DFT formation energy = 0.4648 eV/atom
# E_tot = -21.506 eV/cell
# ΔE to the lowest computed polymorph = 0.081 eV/atom
# SG = R3m

Entry 5:
# Be2ZnHg GGA-PBE optimized geometry
data_Be2ZnHg
_symmetry_space_group_name_H-M 'P 1'
_symmetry_Int_Tables_number 1
_symmetry_space_group_name_Hall 'P 1'
_cell_length_a 8.248
_cell_length_b 3.150
_cell_length_c 4.395
_cell_angle_alpha 90.00
_cell_angle_beta 101.32
_cell_angle_gamma 90.00
loop_
_atom_site_label
_atom_site_fract_x
_atom_site_fract_y
_atom_site_fract_z
_atom_site_occupancy
Be1 0.000 0.000 0.000 1
Be2 0.227 0.500 0.200 1
Be3 0.500 0.500 0.000 1
Be4 0.727 0.000 0.200 1
Zn1 0.471 0.000 0.394 1
Zn2 0.971 0.500 0.394 1
Hg1 0.240 0.000 0.735 1
Hg2 0.740 0.500 0.735 1
# DFT formation energy = 0.3834 eV/atom
# E_tot = -14.989 eV/cell
# ΔE to the lowest computed polymorph = 0.000 eV/atom
# SG = Cm

Entry 6:
# BeZnHg2 GGA-PBE optimized geometry
data_BeZnHg2
_symmetry_space_group_name_H-M 'P 1'
_symmetry_Int_Tables_number 1
_symmetry_space_group_name_Hall 'P 1'
_cell_length_a 6.573
_cell_length_b 6.573
_cell_length_c 6.573
_cell_angle_alpha 90.00
_cell_angle_beta 90.00
_cell_angle_gamma 90.00
loop_
_atom_site_label
_atom_site_fract_x
_atom_site_fract_y
_atom_site_fract_z
_atom_site_occupancy
Be1 0.000 0.000 0.000 1
Be2 0.000 0.500 0.500 1
Be3 0.500 0.000 0.500 1
Be4 0.500 0.500 0.000 1
Zn1 0.000 0.000 0.500 1
Zn2 0.000 0.500 0.000 1
Zn3 0.500 0.000 0.000 1
Zn4 0.500 0.500 0.500 1
Hg1 0.250 0.250 0.250 1
Hg2 0.250 0.250 0.750 1
Hg3 0.250 0.750 0.250 1
Hg4 0.250 0.750 0.750 1
Hg5 0.750 0.250 0.250 1
Hg6 0.750 0.250 0.750 1
Hg7 0.750 0.750 0.250 1
Hg8 0.750 0.750 0.750 1
# DFT formation energy = 0.4401 eV/atom
# E_tot = -15.373 eV/cell
# ΔE to the lowest computed polymorph = 0.209 eV/atom
# SG = Fm-3m

Entry 7:
# BeZnHg GGA-PBE optimized geometry
data_BeZnHg
_symmetry_space_group_name_H-M 'P 1'
_symmetry_Int_Tables_number 1
_symmetry_space_group_name_Hall 'P 1'
_cell_length_a 2.756
_cell_length_b 5.858
_cell_length_c 12.802
_cell_angle_alpha 90.00
_cell_angle_beta 90.00
_cell_angle_gamma 90.00
loop_
_atom_site_label
_atom_site_fract_x
_atom_site_fract_y
_atom_site_fract_z
_atom_site_occupancy
Be1 0.000 0.000 0.000 1
Be2 0.000 0.500 0.500 1
Be3 0.500 0.000 0.500 1
Be4 0.500 0.500 0.000 1
Zn1 0.000 0.000 0.354 1
Zn2 0.000 0.500 0.854 1
Zn3 0.500 0.000 0.854 1
Zn4 0.500 0.500 0.354 1
Hg1 0.000 0.000 0.663 1
Hg2 0.000 0.500 0.163 1
Hg3 0.500 0.000 0.163 1
Hg4 0.500 0.500 0.663 1
# DFT formation energy = 0.3912 eV/atom
# E_tot = -16.513 eV/cell
# ΔE to the lowest computed polymorph = 0.116 eV/atom
# SG = Fmm2

Entry 8:
# BeZnHg2 GGA-PBE optimized geometry
data_BeZnHg2
_symmetry_space_group_name_H-M 'P 1'
_symmetry_Int_Tables_number 1
_symmetry_space_group_name_Hall 'P 1'
_cell_length_a 4.389
_cell_length_b 4.389
_cell_length_c 3.680
_cell_angle_alpha 90.00
_cell_angle_beta 90.00
_cell_angle_gamma 90.00
loop_
_atom_site_label
_atom_site_fract_x
_atom_site_fract_y
_atom_site_fract_z
_atom_site_occupancy
Be1 0.000 0.000 0.000 1
Zn1 0.500 0.500 0.000 1
Hg1 0.000 0.500 0.500 1
Hg2 0.500 0.000 0.500 1
# DFT formation energy = 0.4339 eV/atom
# E_tot = -3.868 eV/cell
# ΔE to the lowest computed polymorph = 0.203 eV/atom
# SG = P4/mmm